! Ba2Sr2In | Alexandria via LeMat-Bulk | GGA-PBE | relaxed; values from VASP
! - Energy: -10.81 eV/cell
! - ΔE_f: -0.17 eV per atom
! - Space group: No. 139
! - Energy relative to the lowest polymorph listed for this composition: 0.000 eV/atom
&SYSTEM
  ibrav = 0, nat = 5, ntyp = 3
/
ATOMIC_SPECIES
In 114.82 In.upf
Ba 137.33 Ba.upf
Sr 87.62 Sr.upf
CELL_PARAMETERS angstrom
4.246 0.000 -0.681
-0.109 4.245 -0.681
0.062 0.064 13.962
ATOMIC_POSITIONS crystal
In 0.000 0.000 0.000
Ba 0.574 0.574 0.149
Sr 0.805 0.805 0.609
Sr 0.195 0.195 0.391
Ba 0.426 0.426 0.851